# 1
Sm5Sn2Pb: optimized geometry, PBE.

Lattice parameters (Å, degrees): 7.0466 7.0467 6.8346 121.05 121.03 90.00
Sites, in units of the cell vectors:
Sm: 0.7221 0.2223 0.9444
Sm: 0.2222 0.2222 0.9444
Sm: 0.7220 0.7220 0.9441
Sm: 0.2221 0.7220 0.9441
Sm: 0.7222 0.7223 0.4445
Sn: 0.2222 0.7222 0.4443
Sn: 0.7221 0.2221 0.4443
Pb: 0.2220 0.2218 0.4440

## Properties
Space-group type: I4/mmm
Calculated volume (Å³ per atom): 29.0
ΔE to the lowest computed polymorph (eV/atom): 0.139
Formation energy from the elements (meV per atom): -470

# 2
Sm2SnPb4: optimized geometry, PBE.

Lattice parameters (Å, degrees): 6.8196 6.8196 6.7527 120.45 120.45 90.15
Sites, in units of the cell vectors:
Sm: 0.2858 0.7856 0.5714
Sm: 0.7856 0.2858 0.5714
Sn: 0.7858 0.7858 0.5715
Pb: 0.7858 0.7858 0.0715
Pb: 0.2857 0.2857 0.0713
Pb: 0.7856 0.2857 0.0714
Pb: 0.2857 0.7856 0.0714

## Properties
Space-group type: C2/m
Calculated volume (Å³ per atom): 31.2
Formation energy from the elements (meV per atom): -313

# 3
Sm7Sn5Pb: optimized geometry, PBE.

Lattice parameters (Å, degrees): 6.3141 8.4956 8.4956 85.60 68.18 68.18
Sites, in units of the cell vectors:
Sm: 0.6245 0.3755 0.3755
Sm: 0.2360 0.7640 0.7640
Sm: 0.0125 0.3197 0.6553
Sm: 0.0125 0.6553 0.3197
Sm: 0.2802 0.2198 0.2198
Sm: 0.5284 0.8085 0.1346
Sm: 0.5284 0.1346 0.8085
Sn: 0.5163 0.9901 0.4760
Sn: 0.0176 0.9901 0.4760
Sn: 0.5163 0.4760 0.9901
Sn: 0.0176 0.4760 0.9901
Sn: 0.7742 0.7258 0.7258
Pb: 0.9355 0.0645 0.0645

## Properties
Space-group type: Imm2
Calculated volume (Å³ per atom): 30.1
Formation energy from the elements (meV per atom): -501

# 4
Sm5Sn2Pb: optimized geometry, PBE.

Lattice parameters (Å, degrees): 8.3149 8.3149 9.2242 116.79 116.79 90.00
Site moments in Bohr magnetons follow the coordinates.
Sites, in units of the cell vectors:
Sm: 0.5126 0.6909 0.7035  0.14
Sm: 0.8091 0.9874 0.2965  0.14
Sm: 0.0000 0.0000 0.0000  0.13
Sm: 0.5000 0.5000 0.0000  0.13
Sm: 0.1909 0.0126 0.7035  0.14
Sm: 0.6909 0.1909 0.7035  0.14
Sm: 0.0126 0.5126 0.7035  0.14
Sm: 0.3091 0.8091 0.2965  0.14
Sm: 0.9874 0.4874 0.2965  0.14
Sm: 0.4874 0.3091 0.2965  0.14
Sn: 0.1385 0.3615 0.0000  -0.01
Sn: 0.6385 0.1385 0.0000  -0.01
Sn: 0.3615 0.8615 0.0000  -0.01
Sn: 0.8615 0.6385 0.0000  -0.01
Pb: 0.7500 0.7500 0.5000  -0.01
Pb: 0.2500 0.2500 0.5000  -0.01

## Properties
Space-group type: I4/mcm
Calculated volume (Å³ per atom): 30.7
ΔE to the lowest computed polymorph (eV/atom): 0.000
Formation energy from the elements (meV per atom): -608

# 5
Sm2Sn3Pb: optimized geometry, PBE.

Lattice parameters (Å, degrees): 5.6152 6.4405 6.6137 119.14 115.12 90.00
Sites, in units of the cell vectors:
Sm: 0.6793 0.1793 0.3585
Sm: 0.3207 0.8207 0.6415
Sn: 0.3327 0.3327 0.6654
Sn: 0.0000 0.0000 0.0000
Sn: 0.6673 0.6673 0.3346
Pb: 0.0000 0.5000 0.0000

## Properties
Space-group type: Immm
Calculated volume (Å³ per atom): 30.4
Formation energy from the elements (meV per atom): -311

# 6
Sm4SnPb: optimized geometry, PBE.

Lattice parameters (Å, degrees): 5.6482 6.4821 11.5233 90.00 104.19 90.00
Sites, in units of the cell vectors:
Sm: 0.8690 0.3219 0.7379
Sm: 0.1310 0.8219 0.2621
Sm: 0.4341 0.8226 0.8683
Sm: 0.5659 0.3226 0.1317
Sm: 0.7121 0.5696 0.4242
Sm: 0.2879 0.0696 0.5758
Sm: 0.7121 0.0746 0.4242
Sm: 0.2879 0.5746 0.5758
Sn: 0.8444 0.8220 0.6888
Sn: 0.1556 0.3220 0.3112
Pb: 0.5729 0.8227 0.1459
Pb: 0.4271 0.3227 0.8541

## Properties
Space-group type: Cmcm
Calculated volume (Å³ per atom): 34.1
Formation energy from the elements (meV per atom): -343

# 7
SmSnPb2: optimized geometry, PBE.

Lattice parameters (Å, degrees): 3.5344 3.5344 12.0669 81.58 81.58 60.00
Sites, in units of the cell vectors:
Pb: 0.0904 0.0904 0.7287
Pb: 0.9096 0.9096 0.2713
Sn: 0.5000 0.5000 0.5000
Sm: 0.0000 0.0000 0.0000

## Properties
Space-group type: R-3m
Calculated volume (Å³ per atom): 32.2
ΔE to the lowest computed polymorph (eV/atom): 0.486
Formation energy from the elements (meV per atom): 106

# 8
Sm4SnPb2: optimized geometry, PBE.

Lattice parameters (Å, degrees): 8.2805 8.2804 8.2801 109.43 109.44 109.55
Sites, in units of the cell vectors:
Sm: 0.8776 0.2648 0.2496
Sm: 0.2348 0.4851 0.1128
Sm: 0.0152 0.6280 0.7504
Sm: 0.7352 0.9848 0.6126
Sm: 0.3720 0.1226 0.3873
Sm: 0.3723 0.1219 0.8872
Sm: 0.5149 0.6277 0.7498
Sm: 0.8780 0.7651 0.2503
Sn: 0.2501 0.7501 0.5000
Sn: 0.9999 0.9999 0.0000
Pb: 0.7492 0.3749 0.8742
Pb: 0.5007 0.8751 0.1258
Pb: 0.6251 0.4993 0.3743
Pb: 0.1250 0.2508 0.6257

## Properties
Space-group type: I-42d
Calculated volume (Å³ per atom): 31.2
Formation energy from the elements (meV per atom): -630